(1)
Computed, not measured: an optimized crystal structure of KNa10Tl2 at the PBE level of DFT.

```
13
Lattice="-6.420 -1.992 -0.310 -1.956 -3.809 -8.047 -1.022 -8.519 2.873" Properties=species:S:1:pos:R:3 pbc="T T T"
K 0.000 0.000 0.000
Na -4.165 -8.793 -3.296
Na -5.233 -5.526 -2.188
Na -7.712 -9.034 -1.332
Na -1.686 -5.285 -4.152
Na -0.511 -4.259 1.437
Na -3.721 -5.255 1.282
Na -2.468 -3.207 -1.321
Na -6.930 -11.113 -4.163
Na -4.995 -5.734 -5.772
Na -4.403 -8.586 0.288
Tl -0.978 -1.904 -4.024
Tl -4.188 -2.900 -4.179
```

Output
Symmetry ... Fmmm
E_form ... -0.406 eV per formula unit
Total DFT energy (no corrections) ... -1.4943 eV/atom
Volume ... 36.83 Å³/atom
DOS at the Fermi energy ... 5.83 states/eV/cell
Density ... 2.350 g/cm³
Size of the total moment ... 0.00 μB/f.u.

=====

(2)
Computed, not measured: an optimized crystal structure of PmEuZnHg at the PBE level of DFT.

```
4
Lattice="5.347 0.000 0.000 2.673 4.631 0.000 2.673 1.544 4.366" Properties=species:S:1:pos:R:3 pbc="T T T"
Eu 5.347 3.087 2.183
Zn 8.020 4.631 3.274
Hg 2.673 1.544 1.091
Pm 0.000 0.000 0.000
```

Output
Symmetry ... F-43m
E_form ... -1.536 eV per formula unit
Total DFT energy (no corrections) ... -4.5342 eV/atom
Volume ... 27.02 Å³/atom
DOS at the Fermi energy ... 5.82 states/eV/cell
Density ... 8.648 g/cm³
Size of the total moment ... 7.01 μB/f.u.

=====

(3)
Computed, not measured: an optimized crystal structure of TlCdNi2 at the PBE level of DFT.

```
4
Lattice="5.205 -0.004 -0.011 4.331 2.886 -0.011 1.267 0.383 4.376" Properties=species:S:1:pos:R:3 pbc="T T T"
Cd 7.999 2.417 3.523
Ni 10.528 3.181 4.234
Ni 2.972 0.898 1.201
Tl 5.510 1.665 1.930
```

Output
Symmetry ... Cm
E_form ... 0.904 eV per formula unit
Total DFT energy (no corrections) ... -3.4850 eV/atom
Volume ... 16.46 Å³/atom
DOS at the Fermi energy ... 3.37 states/eV/cell
Density ... 10.948 g/cm³
Size of the total moment ... 0.00 μB/f.u.